# 1
La3BiSbBr | PBE | relaxed

Summary:
ΔE_f (raw) ... -1.0907 eV per atom
Space-group type ... P2_1/m, No. 11

Structure (POSCAR):
```
La3BiSbBr
1.0
9.068 0.000 0.000
0.000 4.671 0.000
-2.279 0.000 9.990
La Bi Sb Br
6 2 2 2
Direct
0.084 0.250 0.344 La
0.227 0.250 0.994 La
0.401 0.750 0.625 La
0.599 0.250 0.375 La
0.773 0.750 0.006 La
0.916 0.750 0.656 La
0.319 0.750 0.273 Bi
0.681 0.250 0.727 Bi
0.162 0.250 0.661 Sb
0.838 0.750 0.339 Sb
0.398 0.750 0.915 Br
0.602 0.250 0.085 Br
```

=====

# 2
La4BiSe2Br | PBE | relaxed

Summary:
ΔE_f (raw) ... -1.5921 eV per atom
Space-group type ... P2/m, No. 10

Structure (POSCAR):
```
La4BiSe2Br
1.0
7.601 0.000 0.000
0.000 4.431 0.000
-2.573 0.000 7.365
La Bi Se Br
4 1 2 1
Direct
0.236 0.000 0.219 La
0.257 0.500 0.779 La
0.743 0.500 0.221 La
0.764 0.000 0.781 La
0.000 0.000 0.500 Bi
0.000 0.500 0.000 Se
0.500 0.000 0.000 Se
0.500 0.500 0.500 Br
```